# KZrAg2Se4

A relaxed structure of KZrAg2Se4 (GGA-PBE, the Alexandria database).

Properties
SG	No. 23
M_tot	0.0	Bohr magnetons per cell

abc: 6.872 6.686 6.686
angles: 68.60 59.08 59.08
Atoms (fractional coordinates):
Zr: 0.500 0.500 0.500
Se: 0.873 0.538 0.122
Se: 0.467 0.122 0.538
Se: 0.127 0.878 0.462
K: 0.000 0.000 0.000
Ag: 0.173 0.327 0.327
Ag: 0.827 0.673 0.673
Se: 0.533 0.462 0.878

# KSi2Ag2

A relaxed structure of KSi2Ag2 (GGA-PBE, the Alexandria database).

Properties
SG	No. 127
polymorph energy (0 for the lowest one)	3.964	kcal/mol of atoms
M_tot	0.0	Bohr magnetons per cell

abc: 8.463 8.463 2.792
angles: 90.00 90.00 90.00
Atoms (fractional coordinates):
Si: 0.862 0.638 0.000
K: 0.000 0.000 0.000
K: 0.500 0.500 0.000
Si: 0.638 0.138 0.000
Ag: 0.649 0.851 0.500
Ag: 0.851 0.351 0.500
Si: 0.362 0.862 0.000
Ag: 0.351 0.149 0.500
Si: 0.138 0.362 0.000
Ag: 0.149 0.649 0.500

# K2SiAg2

A relaxed structure of K2SiAg2 (GGA-PBE, the Alexandria database).

Properties
SG	No. 127
polymorph energy (0 for the lowest one)	0.000	kcal/mol of atoms
M_tot	0.0	Bohr magnetons per cell

abc: 7.023 7.023 5.668
angles: 90.00 90.00 90.00
Atoms (fractional coordinates):
K: 0.334 0.166 0.500
Ag: 0.189 0.311 0.000
K: 0.834 0.334 0.500
Si: 0.000 0.000 0.000
K: 0.666 0.834 0.500
Ag: 0.689 0.189 0.000
Si: 0.500 0.500 0.000
Ag: 0.311 0.811 0.000
Ag: 0.811 0.689 0.000
K: 0.166 0.666 0.500

# K3SiAg

A relaxed structure of K3SiAg (GGA-PBE, the Alexandria database).

Properties
SG	No. 221
polymorph energy (0 for the lowest one)	0.000	kcal/mol of atoms
M_tot	2.0	Bohr magnetons per cell

abc: 6.407 6.407 6.407
angles: 90.00 90.00 90.00
Last column: magnetic moment on the atom in μB.
Atoms (fractional coordinates):
Si: 0.000 0.000 0.000  0.46
Ag: 0.500 0.500 0.500  0.03
K: 0.500 0.000 0.000  0.02
K: 0.000 0.500 0.000  0.02
K: 0.000 0.000 0.500  0.03

# KSiAg2

A relaxed structure of KSiAg2 (GGA-PBE, the Alexandria database).

Properties
SG	No. 119
M_tot	0.0	Bohr magnetons per cell

abc: 5.392 5.392 5.392
angles: 130.72 130.72 72.26
Atoms (fractional coordinates):
K: 0.500 0.500 0.000
Ag: 0.000 0.000 0.000
Si: 0.750 0.250 0.500
Ag: 0.250 0.750 0.500

# KSi2Ag2

A relaxed structure of KSi2Ag2 (GGA-PBE, the Alexandria database).

Properties
SG	No. 139
polymorph energy (0 for the lowest one)	3.607	kcal/mol of atoms
M_tot	0.0	Bohr magnetons per cell

abc: 4.539 4.539 6.408
angles: 69.26 69.26 90.00
Atoms (fractional coordinates):
Si: 0.250 0.750 0.500
K: 0.000 0.000 0.000
Si: 0.750 0.250 0.500
Ag: 0.639 0.639 0.722
Ag: 0.361 0.361 0.278

Number 1: DOS at the Fermi energy 0.443 states/eV per atom, final energy -34.84 eV per formula unit. Number 2: DOS at the Fermi energy 0.328 states/eV per atom, final energy -16.35 eV per formula unit. Number 3: DOS at the Fermi energy 0.196 states/eV per atom, final energy -12.60 eV per formula unit. Number 4: DOS at the Fermi energy 0.540 states/eV per atom, final energy -9.36 eV per formula unit. Number 5: DOS at the Fermi energy 0.450 states/eV per atom, final energy -10.28 eV per formula unit. Number 6: DOS at the Fermi energy 0.437 states/eV per atom, final energy -16.43 eV per formula unit.